(1)
Below is BaCaReH2 at its PBEsol-relaxed geometry, with properties calculated at the SCAN level.

It has space group P4/mmm (No. 123), with a = 4.102 Å, b = 4.102 Å, c = 5.247 Å, α = 90.00°, β = 90.00° and γ = 90.00°. The distinct sites, in fractional coordinates, are Ba at (0.000, 0.000, 0.000), Ca at (0.500, 0.500, 0.000), Re at (0.000, 0.000, 0.500) and H at (0.000, 0.500, 0.500).

The volume is 88.3 Å³/f.u. The total energy is -120.7 eV per cell.



(2)
Below is Ba3CaHf at its PBEsol-relaxed geometry, with properties calculated at the SCAN level.

It has space group Pm-3m (No. 221), with a = 6.162 Å, b = 6.162 Å, c = 6.162 Å, α = 90.00°, β = 90.00° and γ = 90.00°. The distinct sites, in fractional coordinates, are Ba at (0.000, 0.000, 0.500), Ca at (0.000, 0.000, 0.000) and Hf at (0.500, 0.500, 0.500).

The volume is 234.0 Å³/f.u. The total energy is -184.2 eV per cell.



(3)
Below is BaCa2HfPb at its PBEsol-relaxed geometry, with properties calculated at the SCAN level.

It has space group P4/mmm (No. 123), with a = 5.781 Å, b = 5.781 Å, c = 5.815 Å, α = 90.00°, β = 90.00° and γ = 90.00°. The distinct sites, in fractional coordinates, are Ba at (0.000, 0.000, 0.000), Ca at (0.000, 0.500, 0.500), Hf at (0.000, 0.000, 0.500) and Pb at (0.500, 0.500, 0.000).

The volume is 194.3 Å³/f.u. The total energy is -193.5 eV per cell.



(4)
Below is BaCa4Hg at its PBEsol-relaxed geometry, with properties calculated at the SCAN level.

It has space group F-43m (No. 216), with a = 9.969 Å, b = 9.969 Å, c = 9.969 Å, α = 90.00°, β = 90.00° and γ = 90.00°. The distinct sites, in fractional coordinates, are Ba at (0.000, 0.000, 0.000), Ca at (0.125, 0.125, 0.375) and Hg at (0.250, 0.250, 0.750).

The volume is 247.7 Å³/f.u. The total energy is -580.7 eV per cell.



(5)
Below is BaCaHg at its PBEsol-relaxed geometry, with properties calculated at the SCAN level.

It has space group I4mm (No. 107), with a = 3.937 Å, b = 3.937 Å, c = 13.828 Å, α = 90.00°, β = 90.00° and γ = 90.00°. The distinct sites, in fractional coordinates, are Ba at (0.000, 0.000, 0.000), Ca at (0.000, 0.000, 0.270) and Hg at (0.000, 0.000, 0.658).

The volume is 107.2 Å³/f.u. The total energy is -237.7 eV per cell.



(6)
Below is BaCa2Hg at its PBEsol-relaxed geometry, with properties calculated at the SCAN level.

It has space group P4/mmm (No. 123), with a = 4.998 Å, b = 4.998 Å, c = 5.683 Å, α = 90.00°, β = 90.00° and γ = 90.00°. The distinct sites, in fractional coordinates, are Ba at (0.000, 0.000, 0.000), Ca at (0.000, 0.500, 0.500) and Hg at (0.500, 0.500, 0.000).

The volume is 142.0 Å³/f.u. The total energy is -127.8 eV per cell.



(7)
Below is BaCa2Hg at its PBEsol-relaxed geometry, with properties calculated at the SCAN level.

It has space group P4/mmm (No. 123), with a = 3.816 Å, b = 3.816 Å, c = 10.012 Å, α = 90.00°, β = 90.00° and γ = 90.00°. The distinct sites, in fractional coordinates, are Ba at (0.000, 0.000, 0.000), Ca at (0.500, 0.500, 0.324) and Hg at (0.000, 0.000, 0.500).

The volume is 145.8 Å³/f.u. The total energy is -128.5 eV per cell.



(8)
Below is BaCa2Hg2 at its PBEsol-relaxed geometry, with properties calculated at the SCAN level.

It has space group I4/mmm (No. 139), with a = 5.051 Å, b = 5.051 Å, c = 13.337 Å, α = 90.00°, β = 90.00° and γ = 90.00°. The distinct sites, in fractional coordinates, are Ba at (0.000, 0.000, 0.000), Ca at (0.000, 0.500, 0.250) and Hg at (0.000, 0.000, 0.393).

The energy relative to the lowest polymorph listed for this composition is 23.5 meV per atom. The volume is 170.1 Å³/f.u. The total energy is -395.5 eV per cell.



(9)
Below is BaCa2Hg at its PBEsol-relaxed geometry, with properties calculated at the SCAN level.

It has space group P4mm (No. 99), with a = 3.947 Å, b = 3.947 Å, c = 9.498 Å, α = 90.00°, β = 90.00° and γ = 90.00°. The distinct sites, in fractional coordinates, are Ba at (0.000, 0.000, 0.000), Ca at (0.000, 0.000, 0.389), Ca at (0.500, 0.500, 0.667) and Hg at (0.500, 0.500, 0.230).

The volume is 148.0 Å³/f.u. The total energy is -128.5 eV per cell.



(10)
Below is BaCa2Hg2 at its PBEsol-relaxed geometry, with properties calculated at the SCAN level.

It has space group P4/mbm (No. 127), with a = 8.641 Å, b = 8.641 Å, c = 4.297 Å, α = 90.00°, β = 90.00° and γ = 90.00°. The distinct sites, in fractional coordinates, are Ba at (0.000, 0.000, 0.000), Ca at (0.156, 0.344, 0.500) and Hg at (0.131, 0.631, 0.000).

The energy relative to the lowest polymorph listed for this composition is 0.0 meV per atom. The volume is 160.4 Å³/f.u. The total energy is -395.7 eV per cell.



(11)
Below is BaCa2Hg at its PBEsol-relaxed geometry, with properties calculated at the SCAN level.

It has space group Immm (No. 71), with a = 3.914 Å, b = 6.070 Å, c = 12.473 Å, α = 90.00°, β = 90.00° and γ = 90.00°. The distinct sites, in fractional coordinates, are Ba at (0.000, 0.000, 0.000), Ca at (0.000, 0.500, 0.198) and Hg at (0.000, 0.000, 0.500).

The volume is 148.2 Å³/f.u. The total energy is -257.0 eV per cell.



(12)
Below is Ba2CaHg2 at its PBEsol-relaxed geometry, with properties calculated at the SCAN level.

It has space group P4/mbm (No. 127), with a = 9.093 Å, b = 9.093 Å, c = 4.432 Å, α = 90.00°, β = 90.00° and γ = 90.00°. The distinct sites, in fractional coordinates, are Ba at (0.154, 0.346, 0.000), Ca at (0.000, 0.000, 0.500) and Hg at (0.143, 0.643, 0.500).

The volume is 183.3 Å³/f.u. The total energy is -455.5 eV per cell.